Here is crystalline GdMgZnIr at its relaxed geometry from the Alexandria database. Energies are from PBE.

Values from the calculation:
Total magnetization: 7.3 μB per cell
Fermi-level density of states: 0.738 states/eV/atom
Total energy: -6.849 eV per atom

Cell: 4.7732 4.7732 4.7732 Å, 60.00 60.00 60.00°
Last column: magnetic moment on the atom in μB.
Fractional positions:
Gd (0.5000, 0.5000, 0.5000)  7.06
Zn (0.7500, 0.7500, 0.7500)  0.02
Ir (0.2500, 0.2500, 0.2500)  0.02
Mg (0.0000, 0.0000, 0.0000)  0.00

=====

Here is crystalline PuCu2TeO8 at its relaxed geometry from the Alexandria database. Energies are from PBE.

Values from the calculation:
Total magnetization: 0.1 μB per cell
Raw formation energy: -1.1122 eV per atom
Fermi-level density of states: 0.656 states/eV/atom

Cell: 5.7555 5.7555 5.7555 Å, 111.77 111.77 104.96°
Last column: magnetic moment on the atom in μB.
Fractional positions:
Pu (0.2500, 0.7500, 0.5000)  -2.23
Cu (0.7500, 0.2500, 0.5000)  0.58
Cu (0.5000, 0.5000, 0.0000)  0.44
Te (0.0000, 0.0000, 0.0000)  -0.03
O (0.3531, 0.0478, 0.3053)  0.13
O (0.2836, 0.4716, 0.1879)  0.17
O (0.2836, 0.0957, 0.8121)  0.17
O (0.7425, 0.0478, 0.6947)  0.13
O (0.9043, 0.7164, 0.1879)  0.17
O (0.9522, 0.2575, 0.3053)  0.13
O (0.9522, 0.6469, 0.6947)  0.13
O (0.5284, 0.7164, 0.8121)  0.17

=====

Here is crystalline LiPuCl4 at its relaxed geometry from the Alexandria database. Energies are from PBE.

Values from the calculation:
Total magnetization: 10.0 μB per cell
Raw formation energy: -1.8344 eV per atom
Fermi-level density of states: 1.680 states/eV/atom

Cell: 6.3406 7.7026 7.5862 Å, 118.10 90.00 90.00°
Last column: magnetic moment on the atom in μB.
Fractional positions:
Li (0.5000, 0.5000, 0.0000)  0.00
Li (0.0000, 0.0000, 0.0000)  0.00
Pu (0.0000, 0.5000, 0.5000)  5.04
Pu (0.5000, 0.0000, 0.5000)  5.04
Cl (0.2842, 0.8115, 0.1596)  -0.03
Cl (0.2158, 0.3115, 0.1596)  -0.03
Cl (0.7245, 0.6539, 0.3281)  -0.04
Cl (0.2245, 0.8461, 0.6719)  -0.04
Cl (0.7755, 0.1539, 0.3281)  -0.04
Cl (0.2755, 0.3461, 0.6719)  -0.04
Cl (0.7842, 0.6885, 0.8404)  -0.03
Cl (0.7158, 0.1885, 0.8404)  -0.03

=====

Here is crystalline SbRu2C at its relaxed geometry from the Alexandria database. Energies are from PBE.

Values from the calculation:
Total magnetization: 0.0 μB per cell
Raw formation energy: 1.1015 eV per atom
E above lowest polymorph: 719 meV/atom
Fermi-level density of states: 0.483 states/eV/atom

Cell: 4.2963 4.2963 4.2963 Å, 60.00 60.00 60.00°
Fractional positions:
Sb (0.5000, 0.5000, 0.5000)
C (0.0000, 0.0000, 0.0000)
Ru (0.2500, 0.2500, 0.2500)
Ru (0.7500, 0.7500, 0.7500)

=====

Here is crystalline Ti4Au2N at its relaxed geometry from the Alexandria database. Energies are from PBE.

Values from the calculation:
Total magnetization: 0.0 μB per cell
Raw formation energy: -0.7144 eV per atom
E above lowest polymorph: 0 meV/atom
Fermi-level density of states: 0.539 states/eV/atom

Cell: 3.1094 7.1899 9.8601 Å, 90.00 90.00 90.00°
Fractional positions:
Ti (0.0000, 0.6415, 0.8187)
Ti (0.0000, 0.3585, 0.1813)
Ti (0.0000, 0.1415, 0.6813)
Ti (0.0000, 0.8585, 0.3187)
Ti (0.5000, 0.8325, 0.5673)
Ti (0.5000, 0.1675, 0.4327)
Ti (0.5000, 0.6675, 0.0673)
Ti (0.5000, 0.3325, 0.9327)
Au (0.5000, 0.9524, 0.8637)
Au (0.5000, 0.0476, 0.1363)
Au (0.5000, 0.4524, 0.6363)
Au (0.5000, 0.5476, 0.3637)
N (0.0000, 0.0000, 0.5000)
N (0.0000, 0.5000, 0.0000)

=====

Here is crystalline YTh4P6 at its relaxed geometry from the Alexandria database. Energies are from PBE.

Values from the calculation:
Total magnetization: 0.0 μB per cell
Fermi-level density of states: 0.395 states/eV/atom
Total energy: -7.550 eV per atom

Cell: 8.0541 8.0541 8.0541 Å, 90.38 90.38 89.62°
Fractional positions:
Y (0.5000, 0.5000, 0.5000)
Y (0.0000, 0.0000, 0.0000)
Th (0.3692, 0.1308, 0.2500)
Th (0.8692, 0.2500, 0.3692)
Th (0.2500, 0.6308, 0.1308)
Th (0.2500, 0.2500, 0.7500)
Th (0.7500, 0.7500, 0.2500)
Th (0.7500, 0.3692, 0.8692)
Th (0.1308, 0.7500, 0.6308)
Th (0.6308, 0.8692, 0.7500)
P (0.6799, 0.0643, 0.0852)
P (0.0852, 0.3201, 0.0643)
P (0.5852, 0.4357, 0.1799)
P (0.9357, 0.0852, 0.6799)
P (0.5643, 0.1799, 0.5852)
P (0.1799, 0.4148, 0.4357)
P (0.8201, 0.5852, 0.5643)
P (0.4357, 0.8201, 0.4148)
P (0.0643, 0.9148, 0.3201)
P (0.4148, 0.5643, 0.8201)
P (0.9148, 0.6799, 0.9357)
P (0.3201, 0.9357, 0.9148)

=====

Here is crystalline ZnSICl2 at its relaxed geometry from the Alexandria database. Energies are from PBE.

Values from the calculation:
Total magnetization: 0.0 μB per cell
Raw formation energy: 0.3983 eV per atom
E above lowest polymorph: 468 meV/atom
Fermi-level density of states: 0.580 states/eV/atom

Cell: 5.4813 5.4813 5.1496 Å, 90.00 90.00 90.00°
Fractional positions:
I (0.0000, 0.0000, 0.0000)
Zn (0.5000, 0.5000, 0.5000)
S (0.0000, 0.0000, 0.5000)
Cl (0.0000, 0.5000, 0.0000)
Cl (0.5000, 0.0000, 0.0000)

=====

Here is crystalline CsNaBeC2 at its relaxed geometry from the Alexandria database. Energies are from PBE.

Values from the calculation:
Total magnetization: 5.2 μB per cell
Fermi-level density of states: 0.823 states/eV/atom
Total energy: -1.954 eV per atom

Cell: 5.1030 6.2088 5.1030 Å, 90.00 90.00 90.00°
Last column: magnetic moment on the atom in μB.
Fractional positions:
Cs (0.0000, 0.5000, 0.0000)  0.03
Na (0.0000, 0.0000, 0.0000)  0.04
C (0.0000, 0.0000, 0.5000)  1.07
C (0.5000, 0.0000, 0.0000)  1.09
Be (0.5000, 0.5000, 0.5000)  0.04

=====

Copy entry 8 word for word.
Here is crystalline CsNaBeC2 at its relaxed geometry from the Alexandria database. Energies are from PBE.

Values from the calculation:
Total magnetization: 5.2 μB per cell
Fermi-level density of states: 0.823 states/eV/atom
Total energy: -1.954 eV per atom

Cell: 5.1030 6.2088 5.1030 Å, 90.00 90.00 90.00°
Last column: magnetic moment on the atom in μB.
Fractional positions:
Cs (0.0000, 0.5000, 0.0000)  0.03
Na (0.0000, 0.0000, 0.0000)  0.04
C (0.0000, 0.0000, 0.5000)  1.07
C (0.5000, 0.0000, 0.0000)  1.09
Be (0.5000, 0.5000, 0.5000)  0.04

=====

Q: What is the formula in the second record?
A: PuCu2TeO8

=====

Copy entry 8 word for word.
Here is crystalline CsNaBeC2 at its relaxed geometry from the Alexandria database. Energies are from PBE.

Values from the calculation:
Total magnetization: 5.2 μB per cell
Fermi-level density of states: 0.823 states/eV/atom
Total energy: -1.954 eV per atom

Cell: 5.1030 6.2088 5.1030 Å, 90.00 90.00 90.00°
Last column: magnetic moment on the atom in μB.
Fractional positions:
Cs (0.0000, 0.5000, 0.0000)  0.03
Na (0.0000, 0.0000, 0.0000)  0.04
C (0.0000, 0.0000, 0.5000)  1.07
C (0.5000, 0.0000, 0.0000)  1.09
Be (0.5000, 0.5000, 0.5000)  0.04

=====

Q: Which value of total magnetization does entry 6 give?
A: 0.0 μB per cell